VASP calculation (PBE) on Na4GaSnPd2 after structural relaxation.

Cell: 4.818 4.818 6.834 Å, 90.00 90.00 90.00°
Positions (direct):
Na  0.000  0.000  0.000
Na  0.000  0.500  0.234
Na  0.500  0.000  0.766
Na  0.500  0.500  0.500
Ga  0.500  0.500  0.000
Sn  0.000  0.000  0.500
Pd  0.000  0.500  0.756
Pd  0.500  0.000  0.244

Properties
- symmetry = P-4m2 (115)
- final energy (eV/atom) = -3.021